Compound: Li6AsS5I
Source: the Alexandria database
Functional: GGA-PBEsol
Structure: optimized geometry

a b c (Å): 7.069 7.146 7.151
angles (deg): 61.25 60.40 61.18
Atoms (fractional coordinates):
Li (0.000, 0.000, 0.000)
Li (0.006, 0.622, 0.555)
Li (0.025, 0.158, 0.343)
Li (0.372, 0.596, 0.010)
Li (0.527, 0.611, 0.382)
Li (0.535, 0.987, 0.978)
As (0.479, 0.089, 0.477)
S (0.105, 0.221, 0.600)
S (0.234, 0.835, 0.222)
S (0.598, 0.206, 0.107)
S (0.600, 0.722, 0.606)
S (0.619, 0.215, 0.588)
I (0.966, 0.605, 0.988)

Calculated values
Space-group type   P1 (1)
Formation energy from raw total energies   -1.00 eV per atom

---

Compound: LiAsSe2I
Source: the Alexandria database
Functional: GGA-PBEsol
Structure: optimized geometry

a b c (Å): 4.435 4.435 5.588
angles (deg): 90.00 90.00 90.00
Atoms (fractional coordinates):
Li (0.000, 0.000, 0.000)
As (0.000, 0.000, 0.500)
Se (0.000, 0.500, 0.000)
Se (0.500, 0.000, 0.000)
I (0.500, 0.500, 0.500)

Calculated values
Space-group type   P4/mmm (123)
Formation energy from raw total energies   0.37 eV per atom

---

Compound: LiTeAsI2
Source: the Alexandria database
Functional: GGA-PBEsol
Structure: optimized geometry

a b c (Å): 5.071 5.071 5.192
angles (deg): 90.00 90.00 90.00
Atoms (fractional coordinates):
Li (0.000, 0.000, 0.000)
Te (0.000, 0.000, 0.500)
As (0.500, 0.500, 0.500)
I (0.000, 0.500, 0.000)
I (0.500, 0.000, 0.000)

Calculated values
Space-group type   P4/mmm (123)
Formation energy from raw total energies   0.29 eV per atom

---

Copy entry 1 word for word.
Compound: Li6AsS5I
Source: the Alexandria database
Functional: GGA-PBEsol
Structure: optimized geometry

a b c (Å): 7.069 7.146 7.151
angles (deg): 61.25 60.40 61.18
Atoms (fractional coordinates):
Li (0.000, 0.000, 0.000)
Li (0.006, 0.622, 0.555)
Li (0.025, 0.158, 0.343)
Li (0.372, 0.596, 0.010)
Li (0.527, 0.611, 0.382)
Li (0.535, 0.987, 0.978)
As (0.479, 0.089, 0.477)
S (0.105, 0.221, 0.600)
S (0.234, 0.835, 0.222)
S (0.598, 0.206, 0.107)
S (0.600, 0.722, 0.606)
S (0.619, 0.215, 0.588)
I (0.966, 0.605, 0.988)

Calculated values
Space-group type   P1 (1)
Formation energy from raw total energies   -1.00 eV per atom

---

Number 1 is which compound?
Li6AsS5I

---

Which of these has the lowest formation energy from raw total energies?
Li6AsS5I

---

Look up the formation energy from raw total energies of the second one.
0.37 eV per atom